Computed, not measured: In2OsRu after structural relaxation at the GGA-PBE level of DFT.

- Relative energy among the computed polymorphs: 475 meV/atom

Lattice parameters (Å, degrees): 4.6146 4.6146 4.6146 60.00 60.00 60.00
With the nearest neighbours (Å) after each atom.
Sites, in units of the cell vectors:
1 Ru 0.7500 0.7500 0.7500  4 In 2.83, 4 Os 2.83
2 In 0.0000 0.0000 0.0000  4 In 2.83, 4 Ru 2.83
3 In 0.2500 0.2500 0.2500  4 Os 2.83, 4 In 2.83
4 Os 0.5000 0.5000 0.5000  4 In 2.83, 4 Ru 2.83

Computed, not measured: InOsRu4 after structural relaxation at the GGA-PBE level of DFT.

Lattice parameters (Å, degrees): 5.1029 5.1029 5.1029 60.00 60.00 60.00
With the nearest neighbours (Å) after each atom.
Sites, in units of the cell vectors:
1 Os 0.0000 0.0000 0.0000  12 Ru 2.99, 4 In 3.12
2 Ru 0.6251 0.6251 0.1248  6 Ru 2.55
3 Ru 0.6251 0.1248 0.6251  6 Ru 2.55
4 Ru 0.1248 0.6251 0.6251  6 Ru 2.55
5 Ru 0.6251 0.6251 0.6251  6 Ru 2.55
6 In 0.2500 0.2500 0.2500  12 Ru 2.99, 4 Os 3.12

Computed, not measured: InOsRu2 after structural relaxation at the GGA-PBE level of DFT.

Lattice parameters (Å, degrees): 6.0780 6.0780 6.0780 153.35 138.28 50.20
With the nearest neighbours (Å) after each atom.
Sites, in units of the cell vectors:
1 Ru 0.0315 0.0315 0.0000  2 Os 2.51, 4 In 2.69, 2 Ru 2.80
2 Ru 0.7870 0.2870 0.5000  4 Os 2.68, 2 Ru 2.80, 2 In 2.89
3 Os 0.2212 0.7212 0.5000  6 Ru 2.51-2.68, 2 Os 2.80
4 In 0.4603 0.4603 0.0000  6 Ru 2.69-2.89, 2 In 2.80, 2 Os 2.98

Computed, not measured: InOsRu2 after structural relaxation at the GGA-PBE level of DFT.

Lattice parameters (Å, degrees): 9.1620 9.1620 9.1620 17.74 17.74 17.74
With the nearest neighbours (Å) after each atom.
Sites, in units of the cell vectors:
1 Ru 0.0000 0.0000 0.0000  3 Os 2.66, 9 Ru 2.68-2.82
2 Ru 0.2546 0.2546 0.2546  9 Ru 2.68-2.82, 3 In 2.86
3 Os 0.7444 0.7444 0.7444  3 Ru 2.66, 6 Os 2.82, 3 In 2.93
4 In 0.5010 0.5010 0.5010  6 In 2.82, 3 Ru 2.86, 3 Os 2.93

Computed, not measured: InOsRu2 after structural relaxation at the GGA-PBE level of DFT.

Lattice parameters (Å, degrees): 2.8437 2.8437 7.6721 90.00 90.00 90.01
With the nearest neighbours (Å) after each atom.
Sites, in units of the cell vectors:
1 In 0.5000 0.5000 0.2500  4 In 2.84, 8 Ru 2.90
2 Ru 0.0000 0.0000 0.9785  4 Os 2.67, 4 Ru 2.84, 4 In 2.90
3 Ru 0.0000 0.0000 0.5215  4 Os 2.67, 4 Ru 2.84, 4 In 2.90
4 Os 0.5000 0.5000 0.7500  8 Ru 2.67, 4 Os 2.84

Computed, not measured: In2OsRu after structural relaxation at the GGA-PBE level of DFT.

- Relative energy among the computed polymorphs: 0 meV/atom

Lattice parameters (Å, degrees): 2.9480 2.9117 9.5584 62.83 90.00 90.00
With the nearest neighbours (Å) after each atom.
Sites, in units of the cell vectors:
1 Ru 0.5000 0.7320 0.7204  4 Os 2.62, 4 In 2.90, 2 Ru 2.91
2 In 0.5000 0.3788 0.2887  6 In 2.91-3.17, 4 Os 2.93
3 In 0.0000 0.8742 0.9592  4 Ru 2.90, 6 In 2.91-3.17
4 Os 0.0000 0.5149 0.5317  4 Ru 2.62, 2 Os 2.91, 4 In 2.93

VASP energy list, top to bottom, in eV per atom: -5.864, -7.884, -7.717, -7.756, -7.986, -6.339
V list, top to bottom, in Å³ per atom: 17.37, 15.66, 16.69, 15.58, 15.51, 18.25
D(E_F) list, top to bottom, in states/eV per cell: 5.26, 8.94, 3.11, 5.33, 3.49, 1.42